Below is a relaxed structure of BeW2F2, with properties calculated at the PBE with a Hubbard U level.

a = 3.2602 Å, b = 3.2602 Å, c = 6.3348 Å
α = 75.09°, β = 75.09°, γ = 90.00°
Positions (direct):
Be 0.0000 0.0000 0.0000
W 0.3889 0.3889 0.2222
W 0.6111 0.6111 0.7778
F 0.7500 0.2500 0.5000
F 0.2500 0.7500 0.5000

Uncorrected energy   -23.30 eV per cell
SG   No. 139
Crystal system   tetragonal
Energy above the most stable polymorph in this dataset   0 meV per atom